No. 1
A plane-wave DFT calculation with PBE-GGA was carried out for a relaxed Ti3NbGa6 crystal.

Energy relative to the elements ... -2.10 eV/f.u.
Mass density ... 6.45 Mg/m³

Lattice parameters (Å, degrees): 8.9246 14.6424 5.1609 90.00 90.00 90.00
Space group Cmcm (No. 63)
One atom of each set of equivalent atoms:
Ti 0.0000 0.1568 0.2500 [4 per cell]
Ti 0.2149 0.4212 0.7500 [8 per cell]
Nb 0.0000 0.3435 0.2500 [4 per cell]
Ga 0.0000 0.2806 0.7500 [4 per cell]
Ga 0.0000 0.5000 0.0000 [4 per cell]
Ga 0.1522 0.0881 0.7500 [8 per cell]
Ga 0.2500 0.2500 0.0000 [8 per cell]

No. 2
A plane-wave DFT calculation with PBE-GGA was carried out for a relaxed Ti5NbGa4 crystal.

Energy relative to the elements ... -3.48 eV/f.u.
Mass density ... 6.25 Mg/m³

Lattice parameters (Å, degrees): 3.3529 3.3529 14.4438 90.00 90.00 90.00
Space group P4/mmm (No. 123)
One atom of each set of equivalent atoms:
Ti 0.0000 0.0000 0.0000 [1 per cell]
Ti 0.0000 0.0000 0.1916 [2 per cell]
Ti 0.0000 0.0000 0.3942 [2 per cell]
Nb 0.5000 0.5000 0.5000 [1 per cell]
Ga 0.5000 0.5000 0.0958 [2 per cell]
Ga 0.5000 0.5000 0.2962 [2 per cell]

No. 3
A plane-wave DFT calculation with PBE-GGA was carried out for a relaxed Ti2NbGa3 crystal.

Energy relative to the elements ... -2.52 eV/f.u.
Mass density ... 6.89 Mg/m³

Lattice parameters (Å, degrees): 3.9835 11.9773 4.0216 90.00 90.00 90.00
Space group Cmmm (No. 65)
One atom of each set of equivalent atoms:
Ti 0.0000 0.1667 0.0000 [4 per cell]
Nb 0.0000 0.5000 0.0000 [2 per cell]
Ga 0.0000 0.0000 0.5000 [2 per cell]
Ga 0.0000 0.3309 0.5000 [4 per cell]

No. 4
A plane-wave DFT calculation with PBE-GGA was carried out for a relaxed TiNb6Ga crystal.

Energy relative to the elements ... -0.83 eV/f.u.
Mass density ... 7.86 Mg/m³

Lattice parameters (Å, degrees): 3.4004 9.1453 9.1697 90.00 90.00 90.00
Space group Amm2 (No. 38)
One atom of each set of equivalent atoms:
Ti 0.0000 0.0000 0.0000 [2 per cell]
Nb 0.0000 0.0000 0.4978 [2 per cell]
Nb 0.0000 0.2479 0.2491 [4 per cell]
Nb 0.5000 0.0000 0.2455 [2 per cell]
Nb 0.5000 0.2498 0.4978 [4 per cell]
Ga 0.5000 0.0000 0.7507 [2 per cell]

No. 5
A plane-wave DFT calculation with PBE-GGA was carried out for a relaxed Ti5NbGa3 crystal.

Energy relative to the elements ... -3.65 eV/f.u.
Relative energy among the computed polymorphs ... 0.0 meV per atom
Mass density ... 6.13 Mg/m³

Lattice parameters (Å, degrees): 7.8823 7.8823 5.4502 90.00 90.00 120.00
Space group P6_3/mcm (No. 193)
One atom of each set of equivalent atoms:
Ti 0.0000 0.3323 0.2500 [6 per cell]
Ti 0.3333 0.6667 0.0000 [4 per cell]
Nb 0.0000 0.0000 0.0000 [2 per cell]
Ga 0.0000 0.3357 0.7500 [6 per cell]

No. 6
A plane-wave DFT calculation with PBE-GGA was carried out for a relaxed TiNbGa2 crystal.

Energy relative to the elements ... -1.53 eV/f.u.
Relative energy among the computed polymorphs ... 10.2 meV per atom
Mass density ... 6.99 Mg/m³

Lattice parameters (Å, degrees): 3.5021 3.8034 5.2957 90.00 109.42 90.00
Space group Pm (No. 6)
One atom of each set of equivalent atoms:
Ti 0.0000 0.0000 0.0000 [1 per cell]
Nb 0.6857 0.5000 0.3788 [1 per cell]
Ga 0.2600 0.0000 0.5270 [1 per cell]
Ga 0.4242 0.5000 0.8484 [1 per cell]

No. 7
A plane-wave DFT calculation with PBE-GGA was carried out for a relaxed Ti2NbGa2 crystal.

Energy relative to the elements ... -0.05 eV/f.u.
Relative energy among the computed polymorphs ... 371.1 meV per atom
Mass density ... 5.96 Mg/m³

Lattice parameters (Å, degrees): 4.4030 4.4030 5.4424 90.00 90.00 120.00
Space group P-6m2 (No. 187)
One atom of each set of equivalent atoms:
Ti 0.0000 0.0000 0.0000 [1 per cell]
Ti 0.3333 0.6667 0.5000 [1 per cell]
Nb 0.0000 0.0000 0.5000 [1 per cell]
Ga 0.6667 0.3333 0.2470 [2 per cell]

No. 8
A plane-wave DFT calculation with PBE-GGA was carried out for a relaxed Ti2Nb3Ga4 crystal.

Energy relative to the elements ... -1.98 eV/f.u.
Mass density ... 7.08 Mg/m³

Lattice parameters (Å, degrees): 12.7003 9.8313 5.0018 90.00 101.18 90.00
Space group C2/c (No. 15)
One atom of each set of equivalent atoms:
Ti 0.2141 0.1183 0.3758 [8 per cell]
Nb 0.0000 0.1005 0.2500 [4 per cell]
Nb 0.1485 0.3941 0.0412 [8 per cell]
Ga 0.0719 0.3418 0.4949 [8 per cell]
Ga 0.1254 0.1342 0.8271 [8 per cell]

No. 9
A plane-wave DFT calculation with PBE-GGA was carried out for a relaxed Ti2Nb2Ga crystal.

Energy relative to the elements ... 0.30 eV/f.u.
Relative energy among the computed polymorphs ... 201.9 meV per atom
Mass density ... 6.44 Mg/m³

Lattice parameters (Å, degrees): 7.0132 7.0132 3.6828 90.00 90.00 90.00
Space group P4/mbm (No. 127)
One atom of each set of equivalent atoms:
Ti 0.1656 0.3344 0.0000 [4 per cell]
Nb 0.1388 0.6388 0.5000 [4 per cell]
Ga 0.0000 0.0000 0.5000 [2 per cell]

No. 10
A plane-wave DFT calculation with PBE-GGA was carried out for a relaxed TiNb2Ga2 crystal.

Energy relative to the elements ... 1.17 eV/f.u.
Relative energy among the computed polymorphs ... 615.7 meV per atom
Mass density ... 6.77 Mg/m³

Lattice parameters (Å, degrees): 3.5541 3.5541 14.4843 90.00 90.00 90.00
Space group I4/mmm (No. 139)
One atom of each set of equivalent atoms:
Ti 0.0000 0.0000 0.0000 [2 per cell]
Nb 0.0000 0.0000 0.4043 [4 per cell]
Ga 0.0000 0.5000 0.2500 [4 per cell]

No. 11
A plane-wave DFT calculation with PBE-GGA was carried out for a relaxed Ti2Nb2Ga5 crystal.

Energy relative to the elements ... -1.92 eV/f.u.
Mass density ... 6.90 Mg/m³

Lattice parameters (Å, degrees): 9.9153 4.9406 7.5916 90.00 125.35 90.00
Space group C2/m (No. 12)
One atom of each set of equivalent atoms:
Ti 0.1069 0.0000 0.4462 [4 per cell]
Nb 0.1668 0.5000 0.6693 [4 per cell]
Ga 0.0000 0.0000 0.0000 [2 per cell]
Ga 0.0695 0.5000 0.2414 [4 per cell]
Ga 0.2282 0.0000 0.8945 [4 per cell]

No. 12
A plane-wave DFT calculation with PBE-GGA was carried out for a relaxed Ti4NbGa crystal.

Energy relative to the elements ... -0.65 eV/f.u.
Mass density ... 5.77 Mg/m³

Lattice parameters (Å, degrees): 8.1672 10.9997 5.4757 90.00 124.11 90.00
Space group C2/c (No. 15)
One atom of each set of equivalent atoms:
Ti 0.1623 0.1894 0.2382 [8 per cell]
Ti 0.1714 0.0586 0.7545 [8 per cell]
Nb 0.0000 0.3243 0.7500 [4 per cell]
Ga 0.0000 0.4175 0.2500 [4 per cell]

No. 13
A plane-wave DFT calculation with PBE-GGA was carried out for a relaxed Ti2NbGa2 crystal.

Energy relative to the elements ... -0.62 eV/f.u.
Relative energy among the computed polymorphs ... 256.8 meV per atom
Mass density ... 6.54 Mg/m³

Lattice parameters (Å, degrees): 7.6664 7.6664 2.8355 90.00 90.00 90.00
Space group P4/mbm (No. 127)
One atom of each set of equivalent atoms:
Ti 0.1222 0.3778 0.0000 [4 per cell]
Nb 0.0000 0.0000 0.0000 [2 per cell]
Ga 0.1764 0.6764 0.5000 [4 per cell]

No. 14
A plane-wave DFT calculation with PBE-GGA was carried out for a relaxed TiNbGa4 crystal.

Energy relative to the elements ... -1.28 eV/f.u.
Relative energy among the computed polymorphs ... 0.0 meV per atom
Mass density ... 7.37 Mg/m³

Lattice parameters (Å, degrees): 7.2327 7.2327 7.2327 90.00 90.00 90.00
Space group F-43m (No. 216)
One atom of each set of equivalent atoms:
Ti 0.0000 0.0000 0.0000 [4 per cell]
Nb 0.2500 0.2500 0.2500 [4 per cell]
Ga 0.1253 0.1253 0.6253 [16 per cell]

No. 15
A plane-wave DFT calculation with PBE-GGA was carried out for a relaxed Ti2Nb3Ga3 crystal.

Energy relative to the elements ... -1.66 eV/f.u.
Mass density ... 7.04 Mg/m³

Lattice parameters (Å, degrees): 3.6331 11.3712 13.3214 90.00 90.00 90.00
Space group Cmcm (No. 63)
One atom of each set of equivalent atoms:
Ti 0.0000 0.2361 0.0961 [8 per cell]
Nb 0.0000 0.0608 0.6154 [8 per cell]
Nb 0.0000 0.3616 0.7500 [4 per cell]
Ga 0.0000 0.3758 0.2500 [4 per cell]
Ga 0.0000 0.4042 0.5413 [8 per cell]

No. 16
A plane-wave DFT calculation with PBE-GGA was carried out for a relaxed Ti5Nb2Ga5 crystal.

Energy relative to the elements ... -3.81 eV/f.u.
Mass density ... 6.47 Mg/m³

Lattice parameters (Å, degrees): 12.0384 3.8277 9.6734 90.00 116.92 90.00
Space group C2/m (No. 12)
One atom of each set of equivalent atoms:
Ti 0.0000 0.0000 0.0000 [2 per cell]
Ti 0.0944 0.0000 0.7445 [4 per cell]
Ti 0.1573 0.0000 0.4884 [4 per cell]
Nb 0.0827 0.5000 0.2418 [4 per cell]
Ga 0.0000 0.5000 0.5000 [2 per cell]
Ga 0.1680 0.5000 0.9881 [4 per cell]
Ga 0.2489 0.5000 0.7250 [4 per cell]

No. 17
A plane-wave DFT calculation with PBE-GGA was carried out for a relaxed TiNbGa2 crystal.

Energy relative to the elements ... -0.23 eV/f.u.
Relative energy among the computed polymorphs ... 333.6 meV per atom
Mass density ... 6.48 Mg/m³

Lattice parameters (Å, degrees): 3.6268 3.6268 18.9133 90.00 90.00 120.00
Space group R-3m (No. 166, hexagonal axes)
One atom of each set of equivalent atoms:
Ti 0.0000 0.0000 0.0000 [3 per cell]
Nb 0.0000 0.0000 0.5000 [3 per cell]
Ga 0.0000 0.0000 0.2515 [6 per cell]

No. 18
A plane-wave DFT calculation with PBE-GGA was carried out for a relaxed Ti3NbGa2 crystal.

Energy relative to the elements ... -1.81 eV/f.u.
Relative energy among the computed polymorphs ... 26.5 meV per atom
Mass density ... 6.16 Mg/m³

Lattice parameters (Å, degrees): 3.5043 8.3474 6.9308 90.00 90.00 90.00
Space group Pmc2_1 (No. 26)
One atom of each set of equivalent atoms:
Ti 0.0000 0.0845 0.0000 [2 per cell]
Ti 0.0000 0.3324 0.4245 [2 per cell]
Ti 0.5000 0.1682 0.6742 [2 per cell]
Nb 0.5000 0.4215 0.1059 [2 per cell]
Ga 0.0000 0.3733 0.8090 [2 per cell]
Ga 0.5000 0.1206 0.2949 [2 per cell]

No. 19
A plane-wave DFT calculation with PBE-GGA was carried out for a relaxed TiNb8Ga6 crystal.

Energy relative to the elements ... 1.09 eV/f.u.
Mass density ... 7.26 Mg/m³

Lattice parameters (Å, degrees): 7.6266 7.6266 16.4761 90.00 90.00 120.00
Space group R-3 (No. 148, hexagonal axes)
One atom of each set of equivalent atoms:
Ti 0.0000 0.0000 0.0000 [3 per cell]
Nb 0.0000 0.0000 0.3328 [6 per cell]
Nb 0.0112 0.7335 0.2172 [18 per cell]
Ga 0.0086 0.6365 0.7243 [18 per cell]

No. 20
A plane-wave DFT calculation with PBE-GGA was carried out for a relaxed TiNbGa2 crystal.

Energy relative to the elements ... -0.72 eV/f.u.
Relative energy among the computed polymorphs ... 211.2 meV per atom
Mass density ... 7.12 Mg/m³

Lattice parameters (Å, degrees): 6.3941 6.3941 6.3941 90.00 90.00 90.00
Space group Fm-3m (No. 225)
One atom of each set of equivalent atoms:
Ti 0.0000 0.0000 0.0000 [4 per cell]
Nb 0.0000 0.0000 0.5000 [4 per cell]
Ga 0.2500 0.2500 0.2500 [8 per cell]